The following is a meta-GGA SCAN calculation of Zr2AlAs at its PBEsol-relaxed geometry, from Alexandria.

Cell lengths 3.414, 3.414, 6.385 Å; angles 90.00, 90.00, 90.00 degrees
Positions (direct):
Zr (0.000, 0.000, 0.235)
Zr (0.000, 0.000, 0.765)
Al (0.500, 0.500, 0.500)
As (0.500, 0.500, 0.000)

Properties
Energy: -22.943 eV per atom
E_form: -0.608 eV per atom
Crystal system: tetragonal
Total magnetization: 0.00 μB per formula unit
E above lowest polymorph: 0.2742 eV per atom
Space-group type: No. 123

=====

The following is a meta-GGA SCAN calculation of Zr2AlAs at its PBEsol-relaxed geometry, from Alexandria.

Cell lengths 3.692, 3.692, 20.536 Å; angles 90.00, 90.00, 120.00 degrees
Positions (direct):
Zr (0.000, 0.000, 0.245)
Zr (0.000, 0.000, 0.755)
Zr (0.333, 0.667, 0.422)
Zr (0.333, 0.667, 0.911)
Zr (0.667, 0.333, 0.089)
Zr (0.667, 0.333, 0.578)
Al (0.000, 0.000, 0.000)
Al (0.333, 0.667, 0.667)
Al (0.667, 0.333, 0.333)
As (0.000, 0.000, 0.500)
As (0.333, 0.667, 0.167)
As (0.667, 0.333, 0.833)

Properties
Energy: -23.050 eV per atom
E_form: -0.715 eV per atom
Crystal system: trigonal
Total magnetization: 0.00 μB per formula unit
E above lowest polymorph: 0.1678 eV per atom
Space-group type: No. 166

=====

The following is a meta-GGA SCAN calculation of ZrAl2As at its PBEsol-relaxed geometry, from Alexandria.

Cell lengths 5.416, 8.459, 3.138 Å; angles 90.00, 90.00, 90.00 degrees
Positions (direct):
Zr (0.000, 0.000, 0.000)
Zr (0.500, 0.500, 0.000)
Al (0.250, 0.250, 0.500)
Al (0.250, 0.750, 0.500)
Al (0.750, 0.250, 0.500)
Al (0.750, 0.750, 0.500)
As (0.000, 0.500, 0.000)
As (0.500, 0.000, 0.000)

Properties
Energy: -16.885 eV per atom
E_form: -0.287 eV per atom
Crystal system: orthorhombic
Total magnetization: 0.00 μB per formula unit
Space-group type: No. 65

=====

The following is a meta-GGA SCAN calculation of ZrAl2As at its PBEsol-relaxed geometry, from Alexandria.

Cell lengths 6.619, 6.619, 6.619 Å; angles 90.00, 90.00, 90.00 degrees
Positions (direct):
Zr (0.000, 0.000, 0.000)
Zr (0.000, 0.500, 0.500)
Zr (0.500, 0.000, 0.500)
Zr (0.500, 0.500, 0.000)
Al (0.000, 0.000, 0.500)
Al (0.000, 0.500, 0.000)
Al (0.250, 0.250, 0.750)
Al (0.250, 0.750, 0.250)
Al (0.500, 0.000, 0.000)
Al (0.500, 0.500, 0.500)
Al (0.750, 0.250, 0.250)
Al (0.750, 0.750, 0.750)
As (0.250, 0.250, 0.250)
As (0.250, 0.750, 0.750)
As (0.750, 0.250, 0.750)
As (0.750, 0.750, 0.250)

Properties
Energy: -16.654 eV per atom
E_form: -0.056 eV per atom
Crystal system: cubic
Total magnetization: 0.00 μB per formula unit
Space-group type: No. 216

=====

The following is a meta-GGA SCAN calculation of AlAu4 at its PBEsol-relaxed geometry, from Alexandria.

Cell lengths 6.682, 6.682, 3.683 Å; angles 90.00, 90.00, 90.00 degrees
Positions (direct):
Al (0.000, 0.000, 0.000)
Al (0.500, 0.500, 0.500)
Au (0.091, 0.713, 0.500)
Au (0.213, 0.409, 0.000)
Au (0.287, 0.091, 0.500)
Au (0.409, 0.787, 0.000)
Au (0.591, 0.213, 0.000)
Au (0.713, 0.909, 0.500)
Au (0.787, 0.591, 0.000)
Au (0.909, 0.287, 0.500)

Properties
Energy: -57.141 eV per atom
E_form: -0.265 eV per atom
Crystal system: tetragonal
Total magnetization: 0.00 μB per formula unit
E above lowest polymorph: 0.0346 eV per atom
Space-group type: No. 87

=====

The following is a meta-GGA SCAN calculation of AlAu2 at its PBEsol-relaxed geometry, from Alexandria.

Cell lengths 4.441, 4.441, 2.798 Å; angles 90.00, 90.00, 90.00 degrees
Positions (direct):
Al (0.000, 0.000, 0.000)
Au (0.000, 0.500, 0.500)
Au (0.500, 0.000, 0.500)

Properties
Energy: -49.129 eV per atom
E_form: -0.440 eV per atom
Crystal system: tetragonal
Total magnetization: 0.00 μB per formula unit
Space-group type: No. 123

=====

The following is a meta-GGA SCAN calculation of AlAu2 at its PBEsol-relaxed geometry, from Alexandria.

Cell lengths 4.481, 4.481, 5.599 Å; angles 90.00, 90.00, 120.00 degrees
Positions (direct):
Al (0.333, 0.667, 0.250)
Al (0.667, 0.333, 0.750)
Au (0.000, 0.000, 0.000)
Au (0.000, 0.000, 0.500)
Au (0.333, 0.667, 0.750)
Au (0.667, 0.333, 0.250)

Properties
Energy: -49.066 eV per atom
E_form: -0.378 eV per atom
Crystal system: hexagonal
Total magnetization: 0.00 μB per formula unit
Space-group type: No. 194

=====

The following is a meta-GGA SCAN calculation of Al7Au at its PBEsol-relaxed geometry, from Alexandria.

Cell lengths 5.655, 5.655, 5.655 Å; angles 60.00, 60.00, 60.00 degrees
Positions (direct):
Al (0.000, 0.000, 0.000)
Al (0.000, 0.000, 0.500)
Al (0.000, 0.500, 0.000)
Al (0.000, 0.500, 0.500)
Al (0.500, 0.000, 0.000)
Al (0.500, 0.000, 0.500)
Al (0.500, 0.500, 0.000)
Au (0.500, 0.500, 0.500)

Properties
Energy: -15.584 eV per atom
E_form: -0.157 eV per atom
Crystal system: cubic
Total magnetization: 0.00 μB per formula unit
Space-group type: No. 225

=====

The following is a meta-GGA SCAN calculation of AlAu4 at its PBEsol-relaxed geometry, from Alexandria.

Cell lengths 6.911, 6.911, 6.911 Å; angles 90.00, 90.00, 90.00 degrees
Positions (direct):
Al (0.063, 0.063, 0.063)
Al (0.437, 0.937, 0.563)
Al (0.563, 0.437, 0.937)
Al (0.937, 0.563, 0.437)
Au (0.050, 0.884, 0.713)
Au (0.116, 0.213, 0.450)
Au (0.183, 0.817, 0.317)
Au (0.213, 0.450, 0.116)
Au (0.287, 0.550, 0.616)
Au (0.317, 0.183, 0.817)
Au (0.384, 0.787, 0.950)
Au (0.450, 0.116, 0.213)
Au (0.550, 0.616, 0.287)
Au (0.616, 0.287, 0.550)
Au (0.683, 0.683, 0.683)
Au (0.713, 0.050, 0.884)
Au (0.787, 0.950, 0.384)
Au (0.817, 0.317, 0.183)
Au (0.884, 0.713, 0.050)
Au (0.950, 0.384, 0.787)

Properties
Energy: -57.175 eV per atom
E_form: -0.299 eV per atom
Crystal system: cubic
Total magnetization: 0.00 μB per formula unit
E above lowest polymorph: 0.0000 eV per atom
Space-group type: No. 198

=====

The following is a meta-GGA SCAN calculation of AlAu2 at its PBEsol-relaxed geometry, from Alexandria.

Cell lengths 6.002, 6.002, 6.002 Å; angles 90.00, 90.00, 90.00 degrees
Positions (direct):
Al (0.000, 0.000, 0.000)
Al (0.000, 0.500, 0.500)
Al (0.500, 0.000, 0.500)
Al (0.500, 0.500, 0.000)
Au (0.250, 0.250, 0.250)
Au (0.250, 0.250, 0.750)
Au (0.250, 0.750, 0.250)
Au (0.250, 0.750, 0.750)
Au (0.750, 0.250, 0.250)
Au (0.750, 0.250, 0.750)
Au (0.750, 0.750, 0.250)
Au (0.750, 0.750, 0.750)

Properties
Energy: -49.171 eV per atom
E_form: -0.482 eV per atom
Crystal system: cubic
Total magnetization: 0.00 μB per formula unit
Space-group type: No. 225

=====

The following is a meta-GGA SCAN calculation of Al5Au at its PBEsol-relaxed geometry, from Alexandria.

Cell lengths 4.019, 11.941, 4.021 Å; angles 90.00, 90.00, 90.00 degrees
Positions (direct):
Al (0.000, 0.000, 0.000)
Al (0.000, 0.165, 0.500)
Al (0.000, 0.332, 0.000)
Al (0.000, 0.668, 0.000)
Al (0.000, 0.835, 0.500)
Al (0.500, 0.168, 0.000)
Al (0.500, 0.335, 0.500)
Al (0.500, 0.500, 0.000)
Al (0.500, 0.665, 0.500)
Al (0.500, 0.832, 0.000)
Au (0.000, 0.500, 0.500)
Au (0.500, 0.000, 0.500)

Properties
Energy: -18.162 eV per atom
E_form: -0.176 eV per atom
Crystal system: orthorhombic
Total magnetization: 0.00 μB per formula unit
Space-group type: No. 65

=====

The following is a meta-GGA SCAN calculation of AlAu2 at its PBEsol-relaxed geometry, from Alexandria.

Cell lengths 3.008, 3.008, 22.415 Å; angles 90.00, 90.00, 90.00 degrees
Positions (direct):
Al (0.000, 0.250, 0.375)
Al (0.000, 0.750, 0.625)
Al (0.500, 0.250, 0.125)
Al (0.500, 0.750, 0.875)
Au (0.000, 0.250, 0.804)
Au (0.000, 0.250, 0.946)
Au (0.000, 0.750, 0.054)
Au (0.000, 0.750, 0.196)
Au (0.500, 0.250, 0.554)
Au (0.500, 0.250, 0.696)
Au (0.500, 0.750, 0.304)
Au (0.500, 0.750, 0.446)

Properties
Energy: -49.103 eV per atom
E_form: -0.414 eV per atom
Crystal system: tetragonal
Total magnetization: 0.00 μB per formula unit
Space-group type: No. 141